No. 1
## IrRuS2Cl (PBE)

Data for a relaxed IrRuS2Cl crystal.

Size of the total moment = 2.00 μB per cell
Energy relative to the elements, uncorrected = 1.10 eV/atom
Crystal system = tetragonal
Energy relative to the lowest polymorph listed for this composition = 53.1 kJ/mol of formula units
Electronic total energy = -22.73 eV for the cell shown

```
data_IrRuS2Cl
_cell_length_a 4.532
_cell_length_b 4.532
_cell_length_c 4.751
_cell_angle_alpha 90.00
_cell_angle_beta 90.00
_cell_angle_gamma 90.00
_symmetry_space_group_name_H-M 'P 4/m m m'
_symmetry_Int_Tables_number 123
_symmetry_space_group_name_Hall '-P 4 2'
loop_
_atom_site_label
_atom_site_fract_x
_atom_site_fract_y
_atom_site_fract_z
Ir1 0.000 0.000 0.000
Ru1 0.500 0.500 0.500
S1 0.000 0.500 0.500
Cl1 0.500 0.500 0.000
```

---

No. 2
## LiPa5Ge5 (PBE)

Data for a relaxed LiPa5Ge5 crystal.

Size of the total moment = 0.00 μB per cell
Formation energy from the elements = -62.5 meV per atom
Crystal system = monoclinic
Electronic total energy = -146.34 eV for the cell shown

```
data_LiPa5Ge5
_cell_length_a 12.810
_cell_length_b 5.734
_cell_length_c 7.985
_cell_angle_alpha 90.00
_cell_angle_beta 109.14
_cell_angle_gamma 90.00
_symmetry_space_group_name_H-M 'C 1 2/m 1'
_symmetry_Int_Tables_number 12
loop_
_symmetry_equiv_pos_as_xyz
'x,y,z'
'-x,-y,-z'
'-x,y,-z'
'x,-y,z'
'x+1/2,y+1/2,z'
'-x+1/2,-y+1/2,-z'
'-x+1/2,y+1/2,-z'
'x+1/2,-y+1/2,z'
loop_
_atom_site_label
_atom_site_fract_x
_atom_site_fract_y
_atom_site_fract_z
Li1 0.000 0.000 0.000
Pa1 0.000 0.000 0.500
Pa2 0.156 0.500 0.346
Pa3 0.157 0.500 0.815
Ge1 0.000 0.500 0.000
Ge2 0.162 0.000 0.325
Ge3 0.179 0.000 0.836
```

---

No. 3
## AcScTlCu (PBE)

Data for a relaxed AcScTlCu crystal.

Size of the total moment = 0.08 μB per cell
Formation energy from the elements = -89.9 meV per atom
Crystal system = cubic
Electronic total energy = -69.05 eV for the cell shown

```
data_AcScTlCu
_cell_length_a 7.542
_cell_length_b 7.542
_cell_length_c 7.542
_cell_angle_alpha 90.00
_cell_angle_beta 90.00
_cell_angle_gamma 90.00
_symmetry_space_group_name_H-M 'F -4 3 m'
_symmetry_Int_Tables_number 216
_symmetry_space_group_name_Hall 'F -4 2 3'
loop_
_atom_site_label
_atom_site_fract_x
_atom_site_fract_y
_atom_site_fract_z
Ac1 0.000 0.000 0.000
Sc1 0.000 0.000 0.500
Tl1 0.250 0.250 0.750
Cu1 0.250 0.250 0.250
```

---

No. 4
## Ac14NdCd (PBE)

Data for a relaxed Ac14NdCd crystal.

Size of the total moment = 0.00 μB per cell
Formation energy from the elements = -3.5 meV per atom
Crystal system = orthorhombic
Electronic total energy = -126.51 eV for the cell shown

```
data_Ac14NdCd
_cell_length_a 11.140
_cell_length_b 11.076
_cell_length_c 11.084
_cell_angle_alpha 90.00
_cell_angle_beta 90.00
_cell_angle_gamma 90.00
_symmetry_space_group_name_H-M 'A m m 2'
_symmetry_Int_Tables_number 38
loop_
_symmetry_equiv_pos_as_xyz
'x,y,z'
'-x,-y,z'
'-x,y,z'
'x,-y,z'
'x,y+1/2,z+1/2'
'-x,-y+1/2,z+1/2'
'-x,y+1/2,z+1/2'
'x,-y+1/2,z+1/2'
loop_
_atom_site_label
_atom_site_fract_x
_atom_site_fract_y
_atom_site_fract_z
Ac1 0.000 0.000 0.000
Ac2 0.000 0.000 0.495
Ac3 0.000 0.245 0.248
Ac4 0.248 0.000 0.748
Ac5 0.257 0.249 0.999
Ac6 0.267 0.000 0.246
Ac7 0.500 0.238 0.752
Nd1 0.500 0.000 0.500
Cd1 0.500 0.000 0.998
```

---

No. 5
## CeNi2Sn4 (PBE)

Data for a relaxed CeNi2Sn4 crystal.

Size of the total moment = 2.76 μB per cell
Formation energy from the elements = -364.9 meV per atom
Crystal system = orthorhombic
Electronic total energy = -144.25 eV for the cell shown

```
data_CeNi2Sn4
_cell_length_a 19.125
_cell_length_b 4.394
_cell_length_c 7.064
_cell_angle_alpha 90.00
_cell_angle_beta 90.00
_cell_angle_gamma 90.00
_symmetry_space_group_name_H-M 'P n m a'
_symmetry_Int_Tables_number 62
loop_
_symmetry_equiv_pos_as_xyz
'x,y,z'
'-x,-y,-z'
'-x+1/2,-y,z+1/2'
'x+1/2,y,-z+1/2'
'x+1/2,-y+1/2,-z+1/2'
'-x+1/2,y+1/2,z+1/2'
'-x,y+1/2,-z'
'x,-y+1/2,z'
loop_
_atom_site_label
_atom_site_fract_x
_atom_site_fract_y
_atom_site_fract_z
Ce1 0.138 0.250 0.027
Ni1 0.036 0.750 0.748
Ni2 0.209 0.250 0.500
Sn1 0.027 0.750 0.140
Sn2 0.069 0.250 0.507
Sn3 0.179 0.750 0.718
Sn4 0.204 0.750 0.295
```

---

No. 6
## Ta2BeHIr (PBE)

Data for a relaxed Ta2BeHIr crystal.

Size of the total moment = 0.00 μB per cell
Crystal system = tetragonal
Electronic total energy = -40.40 eV for the cell shown

```
data_Ta2BeHIr
_cell_length_a 4.045
_cell_length_b 4.045
_cell_length_c 3.834
_cell_angle_alpha 90.00
_cell_angle_beta 90.00
_cell_angle_gamma 90.00
_symmetry_space_group_name_H-M 'P 4/m m m'
_symmetry_Int_Tables_number 123
_symmetry_space_group_name_Hall '-P 4 2'
loop_
_atom_site_label
_atom_site_fract_x
_atom_site_fract_y
_atom_site_fract_z
Ta1 0.000 0.500 0.000
Be1 0.000 0.000 0.500
H1 0.000 0.000 0.000
Ir1 0.500 0.500 0.500
```

---

No. 7
## LiInRuPb (PBE)

Data for a relaxed LiInRuPb crystal.

Size of the total moment = 0.00 μB per cell
Formation energy from the elements = 14.4 meV per atom
Crystal system = cubic
Electronic total energy = -70.32 eV for the cell shown

```
data_LiInRuPb
_cell_length_a 6.664
_cell_length_b 6.664
_cell_length_c 6.664
_cell_angle_alpha 90.00
_cell_angle_beta 90.00
_cell_angle_gamma 90.00
_symmetry_space_group_name_H-M 'F -4 3 m'
_symmetry_Int_Tables_number 216
_symmetry_space_group_name_Hall 'F -4 2 3'
loop_
_atom_site_label
_atom_site_fract_x
_atom_site_fract_y
_atom_site_fract_z
Li1 0.000 0.000 0.000
In1 0.250 0.250 0.750
Ru1 0.000 0.000 0.500
Pb1 0.250 0.250 0.250
```

---

No. 8
## AsH5Br4 (PBE)

Data for a relaxed AsH5Br4 crystal.

Size of the total moment = 4.00 μB per cell
Crystal system = tetragonal
Electronic total energy = -55.22 eV for the cell shown

```
data_AsH5Br4
_cell_length_a 9.068
_cell_length_b 9.068
_cell_length_c 7.095
_cell_angle_alpha 90.00
_cell_angle_beta 90.00
_cell_angle_gamma 90.00
_symmetry_space_group_name_H-M 'I 4'
_symmetry_Int_Tables_number 79
loop_
_symmetry_equiv_pos_as_xyz
'x,y,z'
'-y,x,z'
'-x,-y,z'
'y,-x,z'
'x+1/2,y+1/2,z+1/2'
'-y+1/2,x+1/2,z+1/2'
'-x+1/2,-y+1/2,z+1/2'
'y+1/2,-x+1/2,z+1/2'
loop_
_atom_site_label
_atom_site_fract_x
_atom_site_fract_y
_atom_site_fract_z
As1 0.000 0.000 0.000
H1 0.000 0.000 0.217
H2 0.155 0.251 0.986
Br1 0.105 0.722 0.503
```

---

No. 9
## VCdCo3 (PBE)

Data for a relaxed VCdCo3 crystal.

Size of the total moment = 0.01 μB per cell
Formation energy from the elements = 899.2 meV per atom
Crystal system = cubic
Energy relative to the lowest polymorph listed for this composition = 0.0 kJ/mol of formula units
Electronic total energy = -26.86 eV for the cell shown

```
data_VCdCo3
_cell_length_a 4.245
_cell_length_b 4.245
_cell_length_c 4.245
_cell_angle_alpha 90.00
_cell_angle_beta 90.00
_cell_angle_gamma 90.00
_symmetry_space_group_name_H-M 'P m -3 m'
_symmetry_Int_Tables_number 221
_symmetry_space_group_name_Hall '-P 4 2 3'
loop_
_atom_site_label
_atom_site_fract_x
_atom_site_fract_y
_atom_site_fract_z
V1 0.000 0.000 0.000
Cd1 0.500 0.500 0.500
Co1 0.000 0.000 0.500
```

---

No. 10
## Al2SiBr (PBE)

Data for a relaxed Al2SiBr crystal.

Size of the total moment = 0.00 μB per cell
Energy relative to the elements, uncorrected = 0.49 eV/atom
Crystal system = tetragonal
Energy relative to the lowest polymorph listed for this composition = 204.1 kJ/mol of formula units
Electronic total energy = -25.22 eV for the cell shown

```
data_Al2SiBr
_cell_length_a 4.494
_cell_length_b 4.494
_cell_length_c 7.797
_cell_angle_alpha 90.00
_cell_angle_beta 90.00
_cell_angle_gamma 90.00
_symmetry_space_group_name_H-M 'I -4 m 2'
_symmetry_Int_Tables_number 119
_symmetry_space_group_name_Hall 'I -4 -2'
loop_
_atom_site_label
_atom_site_fract_x
_atom_site_fract_y
_atom_site_fract_z
Al1 0.000 0.000 0.000
Al2 0.000 0.500 0.250
Si1 0.000 0.000 0.500
Br1 0.000 0.500 0.750
```

---

No. 11
## IrRhCF2 (PBE)

Data for a relaxed IrRhCF2 crystal.

Size of the total moment = 1.88 μB per cell
Energy relative to the elements, uncorrected = 0.75 eV/atom
Crystal system = tetragonal
Electronic total energy = -25.43 eV for the cell shown

```
data_IrRhCF2
_cell_length_a 3.830
_cell_length_b 3.830
_cell_length_c 4.159
_cell_angle_alpha 90.00
_cell_angle_beta 90.00
_cell_angle_gamma 90.00
_symmetry_space_group_name_H-M 'P 4/m m m'
_symmetry_Int_Tables_number 123
_symmetry_space_group_name_Hall '-P 4 2'
loop_
_atom_site_label
_atom_site_fract_x
_atom_site_fract_y
_atom_site_fract_z
Ir1 0.000 0.000 0.000
Rh1 0.500 0.500 0.000
C1 0.000 0.000 0.500
F1 0.000 0.500 0.500
```

---

No. 12
## La3Tm2Sc (PBE)

Data for a relaxed La3Tm2Sc crystal.

Size of the total moment = 0.00 μB per cell
Formation energy from the elements = 56.6 meV per atom
Crystal system = triclinic
Electronic total energy = -59.43 eV for the cell shown

```
data_La3Tm2Sc
_cell_length_a 5.097
_cell_length_b 8.032
_cell_length_c 10.633
_cell_angle_alpha 72.39
_cell_angle_beta 76.16
_cell_angle_gamma 71.59
_symmetry_space_group_name_H-M 'P -1'
_symmetry_Int_Tables_number 2
loop_
_symmetry_equiv_pos_as_xyz
'x,y,z'
'-x,-y,-z'
loop_
_atom_site_label
_atom_site_fract_x
_atom_site_fract_y
_atom_site_fract_z
La1 0.041 0.288 0.130
La2 0.294 0.045 0.867
La3 0.372 0.625 0.131
Tm1 0.212 0.463 0.613
Tm2 0.455 0.201 0.388
Sc1 0.119 0.874 0.389
```

---

No. 13
## SmTlTc2O8 (PBE)

Data for a relaxed SmTlTc2O8 crystal.

Size of the total moment = 2.03 μB per cell
Energy relative to the elements, uncorrected = -1.74 eV/atom
Crystal system = trigonal
Electronic total energy = -88.32 eV for the cell shown

```
data_SmTlTc2O8
_cell_length_a 6.0849
_cell_length_b 6.0849
_cell_length_c 7.8123
_cell_angle_alpha 90.00
_cell_angle_beta 90.00
_cell_angle_gamma 120.00
_symmetry_space_group_name_H-M 'P -3'
_symmetry_Int_Tables_number 147
loop_
_symmetry_equiv_pos_as_xyz
'x,y,z'
'-x,-y,-z'
'-y,x-y,z'
'y,-x+y,-z'
'-x+y,-x,z'
'x-y,x,-z'
loop_
_atom_site_label
_atom_site_fract_x
_atom_site_fract_y
_atom_site_fract_z
Sm1 0.0000 0.0000 0.0000
Tl1 0.0000 0.0000 0.5000
Tc1 0.3333 0.6667 0.2616
O1 0.1699 0.3453 0.1836
O2 0.3333 0.6667 0.4849
```

---

No. 14
## Cs3CeSm2Te6 (PBE)

Data for a relaxed Cs3CeSm2Te6 crystal.

Size of the total moment = 2.03 μB per cell
Energy relative to the elements, uncorrected = -1.38 eV/atom
Crystal system = monoclinic
Electronic total energy = -106.76 eV for the cell shown

```
data_Cs3CeSm2Te6
_cell_length_a 8.078
_cell_length_b 13.993
_cell_length_c 9.333
_cell_angle_alpha 90.00
_cell_angle_beta 106.75
_cell_angle_gamma 90.00
_symmetry_space_group_name_H-M 'C 1 2/m 1'
_symmetry_Int_Tables_number 12
loop_
_symmetry_equiv_pos_as_xyz
'x,y,z'
'-x,-y,-z'
'-x,y,-z'
'x,-y,z'
'x+1/2,y+1/2,z'
'-x+1/2,-y+1/2,-z'
'-x+1/2,y+1/2,-z'
'x+1/2,-y+1/2,z'
loop_
_atom_site_label
_atom_site_fract_x
_atom_site_fract_y
_atom_site_fract_z
Cs1 0.000 0.000 0.000
Cs2 0.000 0.334 0.000
Ce1 0.000 0.500 0.500
Sm1 0.000 0.167 0.500
Te1 0.227 0.000 0.693
Te2 0.233 0.331 0.693
```

---

No. 15
## Ba4SnSbO (PBE)

Data for a relaxed Ba4SnSbO crystal.

Size of the total moment = 0.00 μB per cell
Energy relative to the elements, uncorrected = -1.28 eV/atom
Crystal system = orthorhombic
Electronic total energy = -118.96 eV for the cell shown

```
data_Ba4SnSbO
_cell_length_a 7.559
_cell_length_b 18.598
_cell_length_c 7.557
_cell_angle_alpha 90.00
_cell_angle_beta 90.00
_cell_angle_gamma 90.00
_symmetry_space_group_name_H-M 'C m c m'
_symmetry_Int_Tables_number 63
_symmetry_space_group_name_Hall '-C 2c 2'
loop_
_atom_site_label
_atom_site_fract_x
_atom_site_fract_y
_atom_site_fract_z
Ba1 0.000 0.072 0.250
Ba2 0.000 0.414 0.250
Ba3 0.250 0.250 0.000
Sn1 0.000 0.387 0.750
Sb1 0.000 0.115 0.750
O1 0.000 0.265 0.250
```

---

No. 16
## LiFePd2W (PBE)

Data for a relaxed LiFePd2W crystal.

Size of the total moment = 1.15 μB per cell
Formation energy from the elements = 983.5 meV per atom
Crystal system = tetragonal
Electronic total energy = -28.80 eV for the cell shown

```
data_LiFePd2W
_cell_length_a 4.893
_cell_length_b 4.893
_cell_length_c 4.443
_cell_angle_alpha 90.00
_cell_angle_beta 90.00
_cell_angle_gamma 90.00
_symmetry_space_group_name_H-M 'P 4/m m m'
_symmetry_Int_Tables_number 123
_symmetry_space_group_name_Hall '-P 4 2'
loop_
_atom_site_label
_atom_site_fract_x
_atom_site_fract_y
_atom_site_fract_z
Li1 0.000 0.000 0.000
Fe1 0.500 0.500 0.000
Pd1 0.000 0.500 0.500
W1 0.500 0.500 0.500
```

---

No. 17
## Tb2Y2ZnGa4 (PBE)

Data for a relaxed Tb2Y2ZnGa4 crystal.

Size of the total moment = 0.02 μB per cell
Formation energy from the elements = -297.0 meV per atom
Crystal system = tetragonal
Electronic total energy = -76.49 eV for the cell shown

```
data_Tb2Y2ZnGa4
_cell_length_a 6.981
_cell_length_b 6.981
_cell_length_c 8.694
_cell_angle_alpha 90.00
_cell_angle_beta 90.00
_cell_angle_gamma 90.00
_symmetry_space_group_name_H-M 'I 4/m m m'
_symmetry_Int_Tables_number 139
_symmetry_space_group_name_Hall '-I 4 2'
loop_
_atom_site_label
_atom_site_fract_x
_atom_site_fract_y
_atom_site_fract_z
Tb1 0.000 0.000 0.187
Y1 0.000 0.500 0.250
Zn1 0.000 0.000 0.500
Ga1 0.245 0.245 0.500
```

---

No. 18
## TbPOsO (PBE)

Data for a relaxed TbPOsO crystal.

Size of the total moment = 0.00 μB per cell
Energy relative to the elements, uncorrected = -1.88 eV/atom
Crystal system = tetragonal
Electronic total energy = -67.51 eV for the cell shown

```
data_TbPOsO
_cell_length_a 4.016
_cell_length_b 4.016
_cell_length_c 7.945
_cell_angle_alpha 90.00
_cell_angle_beta 90.00
_cell_angle_gamma 90.00
_symmetry_space_group_name_H-M 'P 4/n m m'
_symmetry_Int_Tables_number 129
loop_
_symmetry_equiv_pos_as_xyz
'x,y,z'
'-x,-y,-z'
'-y+1/2,x,z'
'y+1/2,-x,-z'
'-x+1/2,-y+1/2,z'
'x+1/2,y+1/2,-z'
'y,-x+1/2,z'
'-y,x+1/2,-z'
'x+1/2,-y,-z'
'-x+1/2,y,z'
'-y,-x,-z'
'y,x,z'
'-x,y+1/2,-z'
'x,-y+1/2,z'
'y+1/2,x+1/2,-z'
'-y+1/2,-x+1/2,z'
loop_
_atom_site_label
_atom_site_fract_x
_atom_site_fract_y
_atom_site_fract_z
Tb1 0.250 0.250 0.135
P1 0.250 0.250 0.654
Os1 0.250 0.750 0.500
O1 0.250 0.750 0.000
```

---

No. 19
## CrFe3 (PBE)

Data for a relaxed CrFe3 crystal.

Size of the total moment = 4.24 μB per cell
Formation energy from the elements = 135.9 meV per atom
Crystal system = tetragonal
Electronic total energy = -34.47 eV for the cell shown

```
data_CrFe3
_cell_length_a 2.493
_cell_length_b 2.493
_cell_length_c 7.226
_cell_angle_alpha 90.00
_cell_angle_beta 90.00
_cell_angle_gamma 90.00
_symmetry_space_group_name_H-M 'P 4/m m m'
_symmetry_Int_Tables_number 123
_symmetry_space_group_name_Hall '-P 4 2'
loop_
_atom_site_label
_atom_site_fract_x
_atom_site_fract_y
_atom_site_fract_z
Cr1 0.000 0.000 0.000
Fe1 0.000 0.000 0.500
Fe2 0.500 0.500 0.244
```

---

No. 20
## ErCu3Cl9 (PBE)

Data for a relaxed ErCu3Cl9 crystal.

Size of the total moment = 4.06 μB per cell
Energy relative to the elements, uncorrected = -0.96 eV/atom
Crystal system = monoclinic
Electronic total energy = -183.96 eV for the cell shown

```
data_ErCu3Cl9
_cell_length_a 18.699
_cell_length_b 7.448
_cell_length_c 13.237
_cell_angle_alpha 90.00
_cell_angle_beta 126.33
_cell_angle_gamma 90.00
_symmetry_space_group_name_H-M 'C 1 c 1'
_symmetry_Int_Tables_number 9
loop_
_symmetry_equiv_pos_as_xyz
'x,y,z'
'x,-y,z+1/2'
'x+1/2,y+1/2,z'
'x+1/2,-y+1/2,z+1/2'
loop_
_atom_site_label
_atom_site_fract_x
_atom_site_fract_y
_atom_site_fract_z
Er1 0.000 0.243 0.000
Cu1 0.145 0.136 0.840
Cu2 0.247 0.460 0.736
Cu3 0.356 0.104 0.668
Cl1 0.021 0.118 0.833
Cl2 0.119 0.495 0.047
Cl3 0.124 0.040 0.181
Cl4 0.176 0.422 0.823
Cl5 0.261 0.109 0.041
Cl6 0.313 0.392 0.645
Cl7 0.378 0.492 0.928
Cl8 0.382 0.019 0.347
Cl9 0.473 0.132 0.662
```